No. 1
! Co9Hg (PBE, optimized geometry); values from VASP
! Magnetic moment in μB per cell: 29.2
! Final energy in eV per atom: -6.30
! Formation enthalpy at 0 K in meV per atom: 130
! E above lowest polymorph in meV per atom: 0
! Space group: Pmmn
&SYSTEM
  ibrav = 0, nat = 20, ntyp = 2
/
ATOMIC_SPECIES
Co 58.93 Co.upf
Hg 200.59 Hg.upf
ATOMIC_POSITIONS crystal
Co 0.250 0.250 0.019
Co 0.250 0.250 0.094
Co 0.250 0.250 0.169
Co 0.250 0.250 0.245
Co 0.250 0.250 0.318
Co 0.250 0.250 0.718
Co 0.250 0.250 0.793
Co 0.250 0.250 0.869
Co 0.250 0.250 0.944
Co 0.750 0.750 0.056
Co 0.750 0.750 0.131
Co 0.750 0.750 0.207
Co 0.750 0.750 0.282
Co 0.750 0.750 0.682
Co 0.750 0.750 0.755
Co 0.750 0.750 0.831
Co 0.750 0.750 0.906
Co 0.750 0.750 0.981
Hg 0.250 0.250 0.625
Hg 0.750 0.750 0.375
CELL_PARAMETERS angstrom
2.564 0.000 0.000
0.000 3.397 0.000
0.000 0.000 33.015

***

No. 2
! CoHg3 (PBE, optimized geometry); values from VASP
! Magnetic moment in μB per cell: 2.9
! Final energy in eV per atom: -1.54
! Formation enthalpy at 0 K in meV per atom: 461
! E above lowest polymorph in meV per atom: 0
! Space group: P6_3/mmc
&SYSTEM
  ibrav = 0, nat = 8, ntyp = 2
/
ATOMIC_SPECIES
Co 58.93 Co.upf
Hg 200.59 Hg.upf
ATOMIC_POSITIONS crystal
Co 0.333 0.667 0.250
Co 0.667 0.333 0.750
Hg 0.176 0.351 0.750
Hg 0.176 0.824 0.750
Hg 0.351 0.176 0.250
Hg 0.649 0.824 0.750
Hg 0.824 0.176 0.250
Hg 0.824 0.649 0.250
CELL_PARAMETERS angstrom
6.325 0.000 0.000
-3.162 5.478 0.000
0.000 0.000 4.534

***

No. 3
! Co15Hg (PBE, optimized geometry); values from VASP
! Magnetic moment in μB per cell: 49.2
! Final energy in eV per atom: -6.51
! Formation enthalpy at 0 K in meV per atom: 169
! E above lowest polymorph in meV per atom: 33
! Space group: P2_1/m
&SYSTEM
  ibrav = 0, nat = 32, ntyp = 2
/
ATOMIC_SPECIES
Co 58.93 Co.upf
Hg 200.59 Hg.upf
ATOMIC_POSITIONS crystal
Co 0.124 0.250 0.242
Co 0.125 0.250 0.019
Co 0.125 0.250 0.093
Co 0.125 0.250 0.168
Co 0.125 0.250 0.722
Co 0.125 0.250 0.794
Co 0.125 0.250 0.870
Co 0.125 0.250 0.944
Co 0.374 0.750 0.758
Co 0.375 0.750 0.056
Co 0.375 0.750 0.131
Co 0.375 0.750 0.205
Co 0.375 0.750 0.832
Co 0.375 0.750 0.907
Co 0.375 0.750 0.981
Co 0.625 0.250 0.019
Co 0.625 0.250 0.093
Co 0.625 0.250 0.168
Co 0.625 0.250 0.795
Co 0.625 0.250 0.869
Co 0.625 0.250 0.944
Co 0.626 0.250 0.242
Co 0.875 0.750 0.056
Co 0.875 0.750 0.130
Co 0.875 0.750 0.206
Co 0.875 0.750 0.278
Co 0.875 0.750 0.832
Co 0.875 0.750 0.907
Co 0.875 0.750 0.981
Co 0.876 0.750 0.758
Hg 0.375 0.750 0.300
Hg 0.625 0.250 0.700
CELL_PARAMETERS angstrom
6.843 0.000 0.000
0.000 2.529 0.000
-0.003 0.000 33.319

***

No. 4
! Co2Hg3 (PBE, optimized geometry); values from VASP
! Magnetic moment in μB per cell: 5.9
! Final energy in eV per atom: -2.50
! Formation enthalpy at 0 K in meV per atom: 520
! Space group: R-3c
&SYSTEM
  ibrav = 0, nat = 10, ntyp = 2
/
ATOMIC_SPECIES
Co 58.93 Co.upf
Hg 200.59 Hg.upf
ATOMIC_POSITIONS crystal
Co 0.190 0.190 0.190
Co 0.310 0.310 0.310
Co 0.690 0.690 0.690
Co 0.810 0.810 0.810
Hg 0.167 0.750 0.333
Hg 0.250 0.667 0.833
Hg 0.333 0.167 0.750
Hg 0.667 0.833 0.250
Hg 0.750 0.333 0.167
Hg 0.833 0.250 0.667
CELL_PARAMETERS angstrom
2.953 1.705 6.351
-2.953 1.705 6.351
0.000 -3.410 6.351

***

No. 5
! HoCoHg (PBE, optimized geometry); values from VASP
! Magnetic moment in μB per cell: 0.6
! Final energy in eV per atom: -3.52
! Formation enthalpy at 0 K in meV per atom: 474
! Space group: F-43m
&SYSTEM
  ibrav = 0, nat = 3, ntyp = 3
/
ATOMIC_SPECIES
Ho 164.93 Ho.upf
Co 58.93 Co.upf
Hg 200.59 Hg.upf
ATOMIC_POSITIONS crystal
Ho 0.000 0.000 0.000
Co 0.750 0.750 0.750
Hg 0.250 0.250 0.250
CELL_PARAMETERS angstrom
0.000 3.341 3.341
3.341 0.000 3.341
3.341 3.341 0.000

***

No. 6
! HoCoHg (PBE, optimized geometry); values from VASP
! Magnetic moment in μB per cell: 0.0
! Final energy in eV per atom: -4.03
! Formation enthalpy at 0 K in meV per atom: -39
! Space group: F-43m
&SYSTEM
  ibrav = 0, nat = 3, ntyp = 3
/
ATOMIC_SPECIES
Ho 164.93 Ho.upf
Co 58.93 Co.upf
Hg 200.59 Hg.upf
ATOMIC_POSITIONS crystal
Ho 0.000 0.000 0.000
Co 0.750 0.750 0.750
Hg 0.500 0.500 0.500
CELL_PARAMETERS angstrom
0.000 3.184 3.184
3.184 0.000 3.184
3.184 3.184 0.000

***

No. 7
! InCoHgIr (PBE, optimized geometry); values from VASP
! Magnetic moment in μB per cell: 0.3
! Final energy in eV per atom: -4.44
! E above lowest polymorph in meV per atom: 0
! Space group: F-43m
&SYSTEM
  ibrav = 0, nat = 4, ntyp = 4
/
ATOMIC_SPECIES
In 114.82 In.upf
Co 58.93 Co.upf
Hg 200.59 Hg.upf
Ir 192.22 Ir.upf
ATOMIC_POSITIONS crystal
In 0.000 0.000 0.000
Co 0.250 0.250 0.250
Hg 0.500 0.500 0.500
Ir 0.750 0.750 0.750
CELL_PARAMETERS angstrom
0.000 3.207 3.207
3.207 0.000 3.207
3.207 3.207 0.000

***

No. 8
! LuInCoHg (PBE, optimized geometry); values from VASP
! Magnetic moment in μB per cell: 0.3
! Final energy in eV per atom: -3.67
! E above lowest polymorph in meV per atom: 56
! Space group: F-43m
&SYSTEM
  ibrav = 0, nat = 4, ntyp = 4
/
ATOMIC_SPECIES
Lu 174.97 Lu.upf
In 114.82 In.upf
Co 58.93 Co.upf
Hg 200.59 Hg.upf
ATOMIC_POSITIONS crystal
Lu 0.000 0.000 0.000
In 0.250 0.250 0.250
Co 0.500 0.500 0.500
Hg 0.750 0.750 0.750
CELL_PARAMETERS angstrom
0.000 3.387 3.387
3.387 0.000 3.387
3.387 3.387 0.000

***

No. 9
! LuInCoHg (PBE, optimized geometry); values from VASP
! Magnetic moment in μB per cell: 1.2
! Final energy in eV per atom: -3.72
! E above lowest polymorph in meV per atom: 0
! Space group: F-43m
&SYSTEM
  ibrav = 0, nat = 4, ntyp = 4
/
ATOMIC_SPECIES
Lu 174.97 Lu.upf
In 114.82 In.upf
Co 58.93 Co.upf
Hg 200.59 Hg.upf
ATOMIC_POSITIONS crystal
Lu 0.000 0.000 0.000
In 0.500 0.500 0.500
Co 0.750 0.750 0.750
Hg 0.250 0.250 0.250
CELL_PARAMETERS angstrom
0.000 3.395 3.395
3.395 0.000 3.395
3.395 3.395 0.000

***

No. 10
! InCoNiHg (PBE, optimized geometry); values from VASP
! Magnetic moment in μB per cell: 0.7
! Final energy in eV per atom: -3.73
! E above lowest polymorph in meV per atom: 0
! Space group: F-43m
&SYSTEM
  ibrav = 0, nat = 4, ntyp = 4
/
ATOMIC_SPECIES
In 114.82 In.upf
Co 58.93 Co.upf
Ni 58.69 Ni.upf
Hg 200.59 Hg.upf
ATOMIC_POSITIONS crystal
In 0.000 0.000 0.000
Co 0.250 0.250 0.250
Ni 0.750 0.750 0.750
Hg 0.500 0.500 0.500
CELL_PARAMETERS angstrom
0.000 3.143 3.143
3.143 0.000 3.143
3.143 3.143 0.000

***

No. 11
! InCoHgOs (PBE, optimized geometry); values from VASP
! Magnetic moment in μB per cell: 1.3
! Final energy in eV per atom: -4.67
! E above lowest polymorph in meV per atom: 0
! Space group: F-43m
&SYSTEM
  ibrav = 0, nat = 4, ntyp = 4
/
ATOMIC_SPECIES
In 114.82 In.upf
Co 58.93 Co.upf
Hg 200.59 Hg.upf
Os 190.23 Os.upf
ATOMIC_POSITIONS crystal
In 0.000 0.000 0.000
Co 0.250 0.250 0.250
Hg 0.500 0.500 0.500
Os 0.750 0.750 0.750
CELL_PARAMETERS angstrom
0.000 3.207 3.207
3.207 0.000 3.207
3.207 3.207 0.000

***

No. 12
! InCoHgPt (PBE, optimized geometry); values from VASP
! Magnetic moment in μB per cell: 1.1
! Final energy in eV per atom: -3.96
! E above lowest polymorph in meV per atom: 0
! Space group: F-43m
&SYSTEM
  ibrav = 0, nat = 4, ntyp = 4
/
ATOMIC_SPECIES
In 114.82 In.upf
Co 58.93 Co.upf
Hg 200.59 Hg.upf
Pt 195.08 Pt.upf
ATOMIC_POSITIONS crystal
In 0.000 0.000 0.000
Co 0.250 0.250 0.250
Hg 0.500 0.500 0.500
Pt 0.750 0.750 0.750
CELL_PARAMETERS angstrom
0.000 3.244 3.244
3.244 0.000 3.244
3.244 3.244 0.000